#w
# CrCoRu

An optimized crystal structure of CrCoRu (PBE-GGA, the Alexandria database).

## Properties
SG: No. 156
Magnetization, μB per atom: 0.33

Unit cell a=2.6115 b=2.6115 c=6.2350 alpha=90.00 beta=90.00 gamma=120.00
Last column: nearest neighbours and their distance in Å.
Positions (direct):
Cr  0.0000  0.0000  0.0000  3 Co 2.48, 3 Ru 2.57, 6 Cr 2.61
Co  0.3333  0.6667  0.6843  3 Cr 2.48, 6 Co 2.61, 3 Ru 2.66
Ru  0.6667  0.3333  0.3333  3 Cr 2.57, 6 Ru 2.61, 3 Co 2.66

#x
# CrCoRu

An optimized crystal structure of CrCoRu (PBE-GGA, the Alexandria database).

## Properties
SG: No. 216
Magnetization, μB per atom: 0.00

Unit cell a=3.8867 b=3.8867 c=3.8867 alpha=60.00 beta=60.00 gamma=60.00
Last column: nearest neighbours and their distance in Å.
Positions (direct):
Cr  0.0000  0.0000  0.0000  4 Ru 2.38, 4 Co 2.38
Co  0.7500  0.7500  0.7500  4 Cr 2.38
Ru  0.2500  0.2500  0.2500  4 Cr 2.38

Relative to the most stable structure, the computed energies are #w 0.0; #x 29.1, all in kJ/mol of atoms.

#w
# CrCo3Ru

An optimized crystal structure of CrCo3Ru (PBE-GGA, the Alexandria database).

## Properties
SG: No. 221
Magnetization, μB per atom: 0.84

Unit cell a=4.3866 b=4.3866 c=4.3866 alpha=90.00 beta=90.00 gamma=90.00
Last column: nearest neighbours and their distance in Å.
Positions (direct):
Cr  0.0000  0.0000  0.0000  12 Co 3.10
Co  0.0000  0.5000  0.5000  2 Ru 2.19
Co  0.5000  0.0000  0.5000  2 Ru 2.19
Co  0.5000  0.5000  0.0000  2 Ru 2.19
Ru  0.5000  0.5000  0.5000  6 Co 2.19

#x
# CrCo3Ru

An optimized crystal structure of CrCo3Ru (PBE-GGA, the Alexandria database).

## Properties
SG: No. 221
Magnetization, μB per atom: 0.84

Unit cell a=4.1232 b=4.1232 c=4.1232 alpha=90.00 beta=90.00 gamma=90.00
Last column: nearest neighbours and their distance in Å.
Positions (direct):
Cr  0.0000  0.0000  0.0000  6 Co 2.06
Co  0.0000  0.0000  0.5000  2 Cr 2.06
Co  0.0000  0.5000  0.0000  2 Cr 2.06
Co  0.5000  0.0000  0.0000  2 Cr 2.06
Ru  0.5000  0.5000  0.5000  12 Co 2.92

Relative to the most stable structure, the computed energies are #w 54.0; #x 0.0, all in kJ/mol of atoms.

#w
# CrCoS3

An optimized crystal structure of CrCoS3 (PBE-GGA, the Alexandria database).

## Properties
SG: No. 11
Magnetization, μB per atom: 0.60

Unit cell a=5.9331 b=3.3797 c=8.3751 alpha=90.00 beta=104.41 gamma=90.00
Last column: nearest neighbours and their distance in Å.
Positions (direct):
Cr  0.1426  0.2500  0.1667  6 S 2.32-2.50
Cr  0.8574  0.7500  0.8333  6 S 2.32-2.50
Co  0.2655  0.2500  0.5118  6 S 2.22-2.35
Co  0.7345  0.7500  0.4882  6 S 2.22-2.35
S  0.0358  0.7500  0.3558  3 Co 2.33-2.35, 2 Cr 2.50
S  0.2354  0.7500  0.0049  3 Cr 2.32-2.34
S  0.4753  0.7500  0.6416  3 Co 2.22-2.24, 1 Cr 2.43
S  0.5247  0.2500  0.3584  3 Co 2.22-2.24, 1 Cr 2.43
S  0.7646  0.2500  0.9951  3 Cr 2.32-2.34
S  0.9642  0.2500  0.6442  3 Co 2.33-2.35, 2 Cr 2.50

#x
# CrCoS3

An optimized crystal structure of CrCoS3 (PBE-GGA, the Alexandria database).

## Properties
SG: No. 221
Magnetization, μB per atom: 0.06

Unit cell a=4.3263 b=4.3263 c=4.3263 alpha=90.00 beta=90.00 gamma=90.00
Last column: nearest neighbours and their distance in Å.
Positions (direct):
Cr  0.0000  0.0000  0.0000  12 S 3.06
Co  0.5000  0.5000  0.5000  6 S 2.16
S  0.0000  0.5000  0.5000  2 Co 2.16
S  0.5000  0.0000  0.5000  2 Co 2.16
S  0.5000  0.5000  0.0000  2 Co 2.16

Relative to the most stable structure, the computed energies are #w 0.0; #x 127.3, all in kJ/mol of atoms.

#w
# CrCoSb2Te

An optimized crystal structure of CrCoSb2Te (PBE-GGA, the Alexandria database).

## Properties
SG: No. 123
Magnetization, μB per atom: 0.07

Unit cell a=5.0011 b=5.0011 c=5.2449 alpha=90.00 beta=90.00 gamma=90.00
Last column: nearest neighbours and their distance in Å.
Positions (direct):
Cr  0.0000  0.0000  0.0000  4 Sb 2.50, 2 Te 2.62
Co  0.5000  0.5000  0.5000  4 Te 3.54, 8 Sb 3.62
Sb  0.0000  0.5000  0.0000  2 Cr 2.50
Sb  0.5000  0.0000  0.0000  2 Cr 2.50
Te  0.0000  0.0000  0.5000  2 Cr 2.62

#x
# CrCoSb2Te

An optimized crystal structure of CrCoSb2Te (PBE-GGA, the Alexandria database).

## Properties
SG: No. 123
Magnetization, μB per atom: 0.05

Unit cell a=4.7703 b=4.7703 c=5.2788 alpha=90.00 beta=90.00 gamma=90.00
Last column: nearest neighbours and their distance in Å.
Positions (direct):
Cr  0.0000  0.0000  0.0000  4 Te 3.37, 8 Sb 3.56
Co  0.5000  0.5000  0.5000  4 Sb 2.39, 2 Te 2.64
Sb  0.0000  0.5000  0.5000  2 Co 2.39
Sb  0.5000  0.0000  0.5000  2 Co 2.39
Te  0.5000  0.5000  0.0000  2 Co 2.64

Relative to the most stable structure, the computed energies are #w 0.0; #x 9.5, all in kJ/mol of atoms.